TiSbTe2Cl | Alexandria via LeMat-Bulk | PBE-GGA | optimized geometry; E_form (uncorrected) = 426 kJ/mol of formula units; excess energy over the best structure of this formula in the dataset = 1004 meV/atom; raw total energy = -3.146 eV per atom; total magnetic moment = 0.0 μB/f.u.
1.0
-4.388 -2.878 1.270
-0.123 -2.022 -5.005
2.958 -3.855 1.484
Sb Cl Te Ti
1 1 2 1
direct
0.000 0.000 0.500 Sb
0.000 0.000 0.000 Cl
0.000 0.500 0.000 Te
0.500 0.000 0.000 Te
0.500 0.500 0.500 Ti


CaTb4DyS8 | Alexandria via LeMat-Bulk | PBE-GGA | optimized geometry; E_form (uncorrected) = -2706 kJ/mol of formula units; raw total energy = -6.157 eV per atom; total magnetic moment = 0.0 μB/f.u.
1.0
-7.184 2.976 -2.334
-6.597 -1.281 4.554
-3.368 6.145 4.084
S Dy Tb Ca
8 1 4 1
direct
0.239 0.239 0.741 S
0.226 0.759 0.257 S
0.781 0.239 0.741 S
0.240 0.240 0.280 S
0.759 0.226 0.257 S
0.239 0.781 0.741 S
0.759 0.759 0.257 S
0.758 0.758 0.726 S
0.002 0.002 0.994 Dy
0.625 0.625 0.125 Tb
0.002 0.002 0.502 Tb
0.494 0.002 0.502 Tb
0.002 0.494 0.502 Tb
0.375 0.375 0.875 Ca


NpSbTe | Alexandria via LeMat-Bulk | PBE-GGA | optimized geometry; E_form (uncorrected) = -21 kJ/mol of formula units; raw total energy = -6.806 eV per atom; total magnetic moment = 4.2 μB/f.u.
1.0
3.032 0.000 0.000
0.000 5.519 0.000
0.000 -2.760 4.780
Te Np Sb
1 1 1
direct
0.833 0.000 0.000 Te
0.833 0.333 0.667 Np
0.334 0.667 0.333 Sb